## Y2Pt17 (GGA-PBE)

Data for crystalline Y2Pt17 at its relaxed geometry.

Cell: 9.2739 9.2739 13.3983 Å, 90.00 90.00 120.00°
Space group R-3m (No. 166, hexagonal axes)
One atom of each set of equivalent atoms:
Y (0.0000, 0.0000, 0.1641) x6
Pt (0.0000, 0.0000, 0.3905) x6
Pt (0.0000, 0.3133, 0.5000) x18
Pt (0.0000, 0.5000, 0.0000) x9
Pt (0.0063, 0.5032, 0.6577) x18

Properties
- Energy relative to the elements: -0.39 eV per atom
- Magnetic moment: 0.00 μB/f.u.

## YPt (GGA-PBE)

Data for crystalline YPt at its relaxed geometry.

Cell: 4.0240 4.0240 3.4996 Å, 90.00 90.00 120.00°
Space group P-6m2 (No. 187)
One atom of each set of equivalent atoms:
Y (0.0000, 0.0000, 0.0000) x1
Pt (0.6667, 0.3333, 0.5000) x1

Properties
- Energy relative to the elements: -1.01 eV per atom
- Magnetic moment: 0.00 μB/f.u.

## Y5Pt3 (GGA-PBE)

Data for crystalline Y5Pt3 at its relaxed geometry.

Cell: 8.4882 8.4882 6.1986 Å, 90.00 90.00 120.00°
Space group P6_3/mcm (No. 193)
One atom of each set of equivalent atoms:
Y (0.0000, 0.2462, 0.2500) x6
Y (0.3333, 0.6667, 0.0000) x4
Pt (0.0000, 0.3946, 0.7500) x6

Properties
- Energy relative to the elements: -1.00 eV per atom
- Magnetic moment: 0.00 μB/f.u.